DFT (GGA+U) results for In2MoF6 after structural relaxation.

Geometry as POSCAR:
```
In2MoF6
1.0
0.496 -5.098 -3.054
8.080 -5.176 -2.038
-1.180 -9.204 3.182
In F Mo
4 12 2
direct
0.373 0.500 0.768 In
0.127 0.232 0.500 In
0.873 0.768 0.500 In
0.627 0.500 0.232 In
0.406 0.048 0.675 F
0.527 0.688 0.632 F
0.973 0.368 0.312 F
0.027 0.632 0.688 F
0.906 0.675 0.048 F
0.235 0.031 0.164 F
0.473 0.312 0.368 F
0.594 0.952 0.325 F
0.094 0.325 0.952 F
0.765 0.969 0.836 F
0.265 0.836 0.969 F
0.735 0.164 0.031 F
0.250 0.067 0.933 Mo
0.750 0.933 0.067 Mo
```

Output
The calculation puts the raw total energy at -86.68 eV per cell. Its size of the total moment is 6.02 Bohr magnetons per cell. The space group is C2/c.